[1]
YCl3 | SCAN | single point on PBEsol structure

Properties
* crystal system: orthorhombic
* total DFT energy (no corrections): -15.43 eV/atom
* formation energy from raw total energies: -240 kJ per mole of atoms

Unit cell a=3.574 b=9.744 c=6.298 alpha=90.00 beta=90.00 gamma=90.00
Fractional positions:
Y 0.000 0.000 0.000
Y 0.500 0.500 0.500
Cl 0.000 0.328 0.340
Cl 0.000 0.500 0.806
Cl 0.000 0.672 0.340
Cl 0.500 0.000 0.306
Cl 0.500 0.172 0.840
Cl 0.500 0.828 0.840


[2]
YCl3 | SCAN | single point on PBEsol structure

Properties
* crystal system: monoclinic
* total DFT energy (no corrections): -15.49 eV/atom
* formation energy from raw total energies: -246 kJ per mole of atoms

Unit cell a=6.854 b=11.897 c=6.545 alpha=90.00 beta=110.52 gamma=90.00
Fractional positions:
Y 0.000 0.166 0.000
Y 0.000 0.834 0.000
Y 0.500 0.334 0.000
Y 0.500 0.666 0.000
Cl 0.211 0.000 0.242
Cl 0.236 0.185 0.761
Cl 0.236 0.815 0.761
Cl 0.264 0.315 0.239
Cl 0.264 0.685 0.239
Cl 0.289 0.500 0.758
Cl 0.711 0.500 0.242
Cl 0.736 0.315 0.761
Cl 0.736 0.685 0.761
Cl 0.764 0.185 0.239
Cl 0.764 0.815 0.239
Cl 0.789 0.000 0.758


[3]
YCl3 | SCAN | single point on PBEsol structure

Properties
* crystal system: orthorhombic
* total DFT energy (no corrections): -15.48 eV/atom
* formation energy from raw total energies: -245 kJ per mole of atoms

Unit cell a=3.739 b=8.387 c=6.800 alpha=90.00 beta=90.00 gamma=90.00
Fractional positions:
Y 0.250 0.250 0.017
Y 0.750 0.750 0.983
Cl 0.250 0.567 0.177
Cl 0.250 0.750 0.712
Cl 0.250 0.933 0.177
Cl 0.750 0.067 0.823
Cl 0.750 0.250 0.288
Cl 0.750 0.433 0.823


[4]
YCl3 | SCAN | single point on PBEsol structure

Properties
* crystal system: orthorhombic
* total DFT energy (no corrections): -15.23 eV/atom
* formation energy from raw total energies: -220 kJ per mole of atoms

Unit cell a=3.500 b=4.932 c=12.808 alpha=90.00 beta=90.00 gamma=90.00
Fractional positions:
Y 0.000 0.000 0.000
Y 0.500 0.500 0.500
Cl 0.000 0.000 0.500
Cl 0.000 0.500 0.346
Cl 0.000 0.500 0.654
Cl 0.500 0.000 0.154
Cl 0.500 0.000 0.846
Cl 0.500 0.500 0.000